Entry A
Computed, not measured: a relaxed Rb2HfInCl6 crystal at the GGA-PBE level of DFT.

```
data_Rb2HfInCl6
_cell_length_a 8.5647
_cell_length_b 8.5647
_cell_length_c 33.1674
_cell_angle_alpha 90.00
_cell_angle_beta 90.00
_cell_angle_gamma 120.00
_symmetry_space_group_name_H-M 'R -3 m'
_symmetry_Int_Tables_number 166
_symmetry_space_group_name_Hall '-R 3 2"'
loop_
_atom_site_label
_atom_site_type_symbol
_atom_site_fract_x
_atom_site_fract_y
_atom_site_fract_z
_atom_site_occupancy
Rb1 Rb 0.0000 0.0000 0.1312 1
Rb2 Rb 0.0000 0.0000 0.2725 1
Hf1 Hf 0.0000 0.0000 0.0000 1
Hf2 Hf 0.0000 0.0000 0.5000 1
In1 In 0.0000 0.0000 0.4042 1
Cl1 Cl 0.0162 0.5081 0.1315 1
Cl2 Cl 0.0674 0.5337 0.7107 1
```

Summary:
- Mass density: 3201 kg/m³

---

Entry B
Computed, not measured: a relaxed Rb2HfInCl6 crystal at the GGA-PBE level of DFT.

```
data_Rb2HfInCl6
_cell_length_a 11.132
_cell_length_b 11.132
_cell_length_c 11.132
_cell_angle_alpha 90.00
_cell_angle_beta 90.00
_cell_angle_gamma 90.00
_symmetry_space_group_name_H-M 'F m -3 m'
_symmetry_Int_Tables_number 225
_symmetry_space_group_name_Hall '-F 4 2 3'
loop_
_atom_site_label
_atom_site_type_symbol
_atom_site_fract_x
_atom_site_fract_y
_atom_site_fract_z
_atom_site_occupancy
Rb1 Rb 0.250 0.250 0.250 1
Hf1 Hf 0.000 0.000 0.000 1
In1 In 0.000 0.000 0.500 1
Cl1 Cl 0.000 0.000 0.226 1
```

Summary:
- Density of states at the Fermi level: 27.94 states/eV per cell
- Mass density: 3259 kg/m³

---

Which one is most stable, and which one is least stable? entry A is the most stable of them, while entry B is the least stable.

---

Entry A
Computed, not measured: a relaxed HfInS2Cl crystal at the GGA-PBE level of DFT.

```
data_HfInS2Cl
_cell_length_a 5.094
_cell_length_b 5.094
_cell_length_c 4.925
_cell_angle_alpha 90.00
_cell_angle_beta 90.00
_cell_angle_gamma 90.00
_symmetry_space_group_name_H-M 'P 4/m m m'
_symmetry_Int_Tables_number 123
_symmetry_space_group_name_Hall '-P 4 2'
loop_
_atom_site_label
_atom_site_type_symbol
_atom_site_fract_x
_atom_site_fract_y
_atom_site_fract_z
_atom_site_occupancy
Hf1 Hf 0.000 0.000 0.000 1
In1 In 0.500 0.500 0.500 1
S1 S 0.000 0.500 0.000 1
Cl1 Cl 0.000 0.000 0.500 1
```

Summary:
- Density of states at the Fermi level: 0.23 states/eV per cell
- Mass density: 5104 kg/m³

---

Entry B
Computed, not measured: a relaxed HfInS2Cl crystal at the GGA-PBE level of DFT.

```
data_HfInS2Cl
_cell_length_a 5.243
_cell_length_b 5.243
_cell_length_c 5.051
_cell_angle_alpha 90.00
_cell_angle_beta 90.00
_cell_angle_gamma 90.00
_symmetry_space_group_name_H-M 'P 4/m m m'
_symmetry_Int_Tables_number 123
_symmetry_space_group_name_Hall '-P 4 2'
loop_
_atom_site_label
_atom_site_type_symbol
_atom_site_fract_x
_atom_site_fract_y
_atom_site_fract_z
_atom_site_occupancy
Hf1 Hf 0.000 0.000 0.000 1
In1 In 0.500 0.500 0.500 1
S1 S 0.000 0.500 0.500 1
Cl1 Cl 0.500 0.500 0.000 1
```

Summary:
- Density of states at the Fermi level: 5.03 states/eV per cell
- Mass density: 4699 kg/m³

---

Which one is most stable, and which one is least stable? entry A is the most stable of them, while entry B is the least stable.